Entry 1:
Compound: Ac2ZnIn
Source: Alexandria
Functional: GGA-PBEsol
Structure: optimized geometry

It has space group Fm-3m (No. 225), with a = 7.8974 Å, b = 7.8974 Å, c = 7.8974 Å, α = 90.00°, β = 90.00° and γ = 90.00°. The asymmetric unit holds Ac at (0.2500, 0.2500, 0.2500), Zn at (0.0000, 0.0000, 0.0000) and In at (0.0000, 0.0000, 0.5000).

The value obtained for the formation energy is -0.316 eV/atom.

=====

Entry 2:
Compound: Ac2ZnIr
Source: Alexandria
Functional: GGA-PBEsol
Structure: optimized geometry

It has space group Fm-3m (No. 225), with a = 7.4546 Å, b = 7.4546 Å, c = 7.4546 Å, α = 90.00°, β = 90.00° and γ = 90.00°. The asymmetric unit holds Ac at (0.2500, 0.2500, 0.2500), Zn at (0.0000, 0.0000, 0.0000) and Ir at (0.0000, 0.0000, 0.5000).

The value obtained for the formation energy is -0.322 eV/atom.

=====

Entry 3:
Compound: AcLaMg2
Source: Alexandria
Functional: GGA-PBEsol
Structure: optimized geometry

It has space group Fm-3m (No. 225), with a = 7.9664 Å, b = 7.9664 Å, c = 7.9664 Å, α = 90.00°, β = 90.00° and γ = 90.00°. The asymmetric unit holds Ac at (0.0000, 0.0000, 0.0000), La at (0.0000, 0.0000, 0.5000) and Mg at (0.2500, 0.2500, 0.2500).

The value obtained for the formation energy is -0.080 eV/atom.

=====

Entry 4:
Compound: LiAc2Pb
Source: Alexandria
Functional: GGA-PBEsol
Structure: optimized geometry

It has space group Fm-3m (No. 225), with a = 8.0748 Å, b = 8.0748 Å, c = 8.0748 Å, α = 90.00°, β = 90.00° and γ = 90.00°. The asymmetric unit holds Li at (0.0000, 0.0000, 0.0000), Ac at (0.2500, 0.2500, 0.2500) and Pb at (0.0000, 0.0000, 0.5000).

The value obtained for the formation energy is -0.283 eV/atom.

=====

Entry 5:
Compound: Li2AcPb
Source: Alexandria
Functional: GGA-PBEsol
Structure: optimized geometry

It has space group Fm-3m (No. 225), with a = 7.2344 Å, b = 7.2344 Å, c = 7.2344 Å, α = 90.00°, β = 90.00° and γ = 90.00°. The asymmetric unit holds Li at (0.2500, 0.2500, 0.2500), Ac at (0.0000, 0.0000, 0.0000) and Pb at (0.0000, 0.0000, 0.5000).

The value obtained for the formation energy is -0.333 eV/atom.

=====

Entry 6:
Compound: LiAc2Ru
Source: Alexandria
Functional: GGA-PBEsol
Structure: optimized geometry

It has space group Fm-3m (No. 225), with a = 7.4486 Å, b = 7.4486 Å, c = 7.4486 Å, α = 90.00°, β = 90.00° and γ = 90.00°. The asymmetric unit holds Li at (0.0000, 0.0000, 0.0000), Ac at (0.2500, 0.2500, 0.2500) and Ru at (0.0000, 0.0000, 0.5000).

The value obtained for the formation energy is 0.036 eV/atom.

=====

Entry 7:
Compound: LiAc2Si
Source: Alexandria
Functional: GGA-PBEsol
Structure: optimized geometry

It has space group Fm-3m (No. 225), with a = 7.6589 Å, b = 7.6589 Å, c = 7.6589 Å, α = 90.00°, β = 90.00° and γ = 90.00°. The asymmetric unit holds Li at (0.0000, 0.0000, 0.0000), Ac at (0.2500, 0.2500, 0.2500) and Si at (0.0000, 0.0000, 0.5000).

As for the raw formation energy: -0.22 eV per atom.

=====

Entry 8:
Compound: LiAcTl2
Source: Alexandria
Functional: GGA-PBEsol
Structure: optimized geometry

It has space group Fm-3m (No. 225), with a = 7.6771 Å, b = 7.6771 Å, c = 7.6771 Å, α = 90.00°, β = 90.00° and γ = 90.00°. The asymmetric unit holds Li at (0.0000, 0.0000, 0.0000), Ac at (0.0000, 0.0000, 0.5000) and Tl at (0.2500, 0.2500, 0.2500).

The value obtained for the formation energy is -0.353 eV/atom.

=====

Entry 9:
Compound: AcMg3
Source: Alexandria
Functional: GGA-PBEsol
Structure: optimized geometry

It has space group P6_3/mmc (No. 194), with a = 7.0948 Å, b = 7.0948 Å, c = 5.2893 Å, α = 90.00°, β = 90.00° and γ = 120.00°. The asymmetric unit holds Ac at (0.3333, 0.6667, 0.2500) and Mg at (0.1544, 0.3088, 0.7500).

The value obtained for the formation energy is -0.033 eV/atom.

=====

Entry 10:
Compound: AcNdMg2
Source: Alexandria
Functional: GGA-PBEsol
Structure: optimized geometry

It has space group Fm-3m (No. 225), with a = 7.8977 Å, b = 7.8977 Å, c = 7.8977 Å, α = 90.00°, β = 90.00° and γ = 90.00°. The asymmetric unit holds Ac at (0.0000, 0.0000, 0.0000), Nd at (0.0000, 0.0000, 0.5000) and Mg at (0.2500, 0.2500, 0.2500).

The value obtained for the formation energy is -0.074 eV/atom.

=====

Entry 11:
Compound: AcMgO3
Source: Alexandria
Functional: GGA-PBEsol
Structure: optimized geometry

It has space group Pm-3m (No. 221), with a = 3.9621 Å, b = 3.9621 Å, c = 3.9621 Å, α = 90.00°, β = 90.00° and γ = 90.00°. The asymmetric unit holds Ac at (0.0000, 0.0000, 0.0000), Mg at (0.5000, 0.5000, 0.5000) and O at (0.0000, 0.5000, 0.5000).

As for the raw formation energy: -2.63 eV per atom.

=====

Entry 12:
Compound: Ac2MgPb
Source: Alexandria
Functional: GGA-PBEsol
Structure: optimized geometry

It has space group Fm-3m (No. 225), with a = 8.1401 Å, b = 8.1401 Å, c = 8.1401 Å, α = 90.00°, β = 90.00° and γ = 90.00°. The asymmetric unit holds Ac at (0.2500, 0.2500, 0.2500), Mg at (0.0000, 0.0000, 0.0000) and Pb at (0.0000, 0.0000, 0.5000).

The value obtained for the formation energy is -0.294 eV/atom.

=====

Entry 13:
Compound: Ac2MgSn
Source: Alexandria
Functional: GGA-PBEsol
Structure: optimized geometry

It has space group Fm-3m (No. 225), with a = 8.0591 Å, b = 8.0591 Å, c = 8.0591 Å, α = 90.00°, β = 90.00° and γ = 90.00°. The asymmetric unit holds Ac at (0.2500, 0.2500, 0.2500), Mg at (0.0000, 0.0000, 0.0000) and Sn at (0.0000, 0.0000, 0.5000).

The value obtained for the formation energy is -0.371 eV/atom.

=====

Entry 14:
Compound: Ac2MgTl
Source: Alexandria
Functional: GGA-PBEsol
Structure: optimized geometry

It has space group Fm-3m (No. 225), with a = 8.1072 Å, b = 8.1072 Å, c = 8.1072 Å, α = 90.00°, β = 90.00° and γ = 90.00°. The asymmetric unit holds Ac at (0.2500, 0.2500, 0.2500), Mg at (0.0000, 0.0000, 0.0000) and Tl at (0.0000, 0.0000, 0.5000).

The value obtained for the formation energy is -0.242 eV/atom.

=====

Entry 15:
Compound: AcMgZn2
Source: Alexandria
Functional: GGA-PBEsol
Structure: optimized geometry

It has space group Fm-3m (No. 225), with a = 7.2000 Å, b = 7.2000 Å, c = 7.2000 Å, α = 90.00°, β = 90.00° and γ = 90.00°. The asymmetric unit holds Ac at (0.0000, 0.0000, 0.0000), Mg at (0.0000, 0.0000, 0.5000) and Zn at (0.2500, 0.2500, 0.2500).

The value obtained for the formation energy is -0.212 eV/atom.

=====

Entry 16:
Compound: AcMnO3
Source: Alexandria
Functional: GGA-PBEsol
Structure: optimized geometry

It has space group Pm-3m (No. 221), with a = 3.9218 Å, b = 3.9218 Å, c = 3.9218 Å, α = 90.00°, β = 90.00° and γ = 90.00°. The asymmetric unit holds Ac at (0.0000, 0.0000, 0.0000), Mn at (0.5000, 0.5000, 0.5000) and O at (0.0000, 0.5000, 0.5000).

As for the raw formation energy: -2.66 eV per atom.

=====

Entry 17:
Compound: AcN
Source: Alexandria
Functional: GGA-PBEsol
Structure: optimized geometry

It has space group P6_3mc (No. 186), with a = 4.2432 Å, b = 4.2432 Å, c = 6.2159 Å, α = 90.00°, β = 90.00° and γ = 120.00°. The asymmetric unit holds Ac at (0.3333, 0.6667, 0.0000) and N at (0.3333, 0.6667, 0.5931).

As for the raw formation energy: -1.17 eV per atom.

=====

Entry 18:
Compound: NaAcTl2
Source: Alexandria
Functional: GGA-PBEsol
Structure: optimized geometry

It has space group Fm-3m (No. 225), with a = 7.8206 Å, b = 7.8206 Å, c = 7.8206 Å, α = 90.00°, β = 90.00° and γ = 90.00°. The asymmetric unit holds Na at (0.0000, 0.0000, 0.0000), Ac at (0.0000, 0.0000, 0.5000) and Tl at (0.2500, 0.2500, 0.2500).

The value obtained for the formation energy is -0.311 eV/atom.

=====

Entry 19:
Compound: Ac2O3
Source: Alexandria
Functional: GGA-PBEsol
Structure: optimized geometry

It has space group P-3m1 (No. 164), with a = 4.0625 Å, b = 4.0625 Å, c = 6.2225 Å, α = 90.00°, β = 90.00° and γ = 120.00°. The asymmetric unit holds Ac at (0.3333, 0.6667, 0.2558), O at (0.0000, 0.0000, 0.5000) and O at (0.3333, 0.6667, 0.8554).

As for the raw formation energy: -3.35 eV per atom.

=====

Entry 20:
Compound: AcPdO3
Source: Alexandria
Functional: GGA-PBEsol
Structure: optimized geometry

It has space group Pm-3m (No. 221), with a = 4.0231 Å, b = 4.0231 Å, c = 4.0231 Å, α = 90.00°, β = 90.00° and γ = 90.00°. The asymmetric unit holds Ac at (0.0000, 0.0000, 0.0000), Pd at (0.5000, 0.5000, 0.5000) and O at (0.0000, 0.5000, 0.5000).

As for the raw formation energy: -1.91 eV per atom.

=====

Entry 21:
Compound: AcScO3
Source: Alexandria
Functional: GGA-PBEsol
Structure: optimized geometry

It has space group Pm-3m (No. 221), with a = 4.0761 Å, b = 4.0761 Å, c = 4.0761 Å, α = 90.00°, β = 90.00° and γ = 90.00°. The asymmetric unit holds Ac at (0.0000, 0.0000, 0.0000), Sc at (0.5000, 0.5000, 0.5000) and O at (0.0000, 0.5000, 0.5000).

As for the raw formation energy: -3.47 eV per atom.

=====

Entry 22:
Compound: AcTiO3
Source: Alexandria
Functional: GGA-PBEsol
Structure: optimized geometry

It has space group Pm-3m (No. 221), with a = 3.9652 Å, b = 3.9652 Å, c = 3.9652 Å, α = 90.00°, β = 90.00° and γ = 90.00°. The asymmetric unit holds Ac at (0.0000, 0.0000, 0.0000), Ti at (0.5000, 0.5000, 0.5000) and O at (0.0000, 0.5000, 0.5000).

As for the raw formation energy: -3.27 eV per atom.

=====

Entry 23:
Compound: Ac2SiPd
Source: Alexandria
Functional: GGA-PBEsol
Structure: optimized geometry

It has space group Fm-3m (No. 225), with a = 7.5567 Å, b = 7.5567 Å, c = 7.5567 Å, α = 90.00°, β = 90.00° and γ = 90.00°. The asymmetric unit holds Ac at (0.2500, 0.2500, 0.2500), Si at (0.0000, 0.0000, 0.0000) and Pd at (0.0000, 0.0000, 0.5000).

As for the raw formation energy: -0.54 eV per atom.

=====

Entry 24:
Compound: AcPr3
Source: Alexandria
Functional: GGA-PBEsol
Structure: optimized geometry

It has space group I4/mmm (No. 139), with a = 5.2347 Å, b = 5.2347 Å, c = 10.4317 Å, α = 90.00°, β = 90.00° and γ = 90.00°. The asymmetric unit holds Ac at (0.0000, 0.0000, 0.0000), Pr at (0.0000, 0.0000, 0.5000) and Pr at (0.0000, 0.5000, 0.2500).

The value obtained for the formation energy is 0.018 eV/atom.

=====

Entry 25:
Compound: AcSi3
Source: Alexandria
Functional: GGA-PBEsol
Structure: optimized geometry

It has space group P6_3/mmc (No. 194), with a = 6.4577 Å, b = 6.4577 Å, c = 4.5638 Å, α = 90.00°, β = 90.00° and γ = 120.00°. The asymmetric unit holds Ac at (0.3333, 0.6667, 0.2500) and Si at (0.1293, 0.2586, 0.7500).

As for the raw formation energy: -0.42 eV per atom.

=====

Entry 26:
Compound: Ac2TlSn
Source: Alexandria
Functional: GGA-PBEsol
Structure: optimized geometry

It has space group Fm-3m (No. 225), with a = 8.0842 Å, b = 8.0842 Å, c = 8.0842 Å, α = 90.00°, β = 90.00° and γ = 90.00°. The asymmetric unit holds Ac at (0.2500, 0.2500, 0.2500), Tl at (0.0000, 0.0000, 0.0000) and Sn at (0.0000, 0.0000, 0.5000).

The value obtained for the formation energy is -0.518 eV/atom.

=====

Entry 27:
Compound: SrAc3
Source: Alexandria
Functional: GGA-PBEsol
Structure: optimized geometry

It has space group P6_3/mmc (No. 194), with a = 7.9674 Å, b = 7.9674 Å, c = 6.3785 Å, α = 90.00°, β = 90.00° and γ = 120.00°. The asymmetric unit holds Sr at (0.3333, 0.6667, 0.2500) and Ac at (0.1636, 0.3273, 0.7500).

The value obtained for the formation energy is 0.082 eV/atom.

=====

Entry 28:
Compound: SrAcZn2
Source: Alexandria
Functional: GGA-PBEsol
Structure: optimized geometry

It has space group Fm-3m (No. 225), with a = 7.6572 Å, b = 7.6572 Å, c = 7.6572 Å, α = 90.00°, β = 90.00° and γ = 90.00°. The asymmetric unit holds Sr at (0.0000, 0.0000, 0.0000), Ac at (0.0000, 0.0000, 0.5000) and Zn at (0.2500, 0.2500, 0.2500).

The value obtained for the formation energy is -0.192 eV/atom.

=====

Entry 29:
Compound: Ac3Tb
Source: Alexandria
Functional: GGA-PBEsol
Structure: optimized geometry

It has space group P6_3/mmc (No. 194), with a = 7.6664 Å, b = 7.6664 Å, c = 6.1408 Å, α = 90.00°, β = 90.00° and γ = 120.00°. The asymmetric unit holds Ac at (0.1692, 0.3384, 0.2500) and Tb at (0.3333, 0.6667, 0.7500).

The value obtained for the formation energy is 0.052 eV/atom.